Entry from Alexandria via LeMat-Bulk: a relaxed Cs2LiCdSb2 crystal (PBE).

The structure in POSCAR format:
```
Cs2LiCdSb2
1.0
7.1359 0.0000 0.0000
0.0000 7.2278 0.0000
-3.5679 -3.6139 8.7744
Cs Cd Li Sb
4 2 2 4
Cartesian
1.8054 3.6139 5.8062
-1.8054 0.0000 5.8062
5.3733 3.6139 2.9682
1.7626 0.0000 2.9682
3.5679 1.8069 0.0000
3.5679 5.4208 0.0000
0.0000 5.4208 0.0000
0.0000 1.8069 0.0000
5.3400 0.0000 1.5198
1.7959 3.6139 1.5198
1.7720 0.0000 7.2546
-1.7720 3.6139 7.2546
```

Calculated values
- N(E_F): 0.78 states/eV per atom
- ΔE_f (raw): -0.422 eV per atom
- Raw total energy: -30.63 eV for the cell shown
- Magnetization: 0.00 μB per formula unit

---

Entry from Alexandria via LeMat-Bulk: a relaxed CsLiCdSe crystal (PBE).

The structure in POSCAR format:
```
CsLiCdSe
1.0
-2.5067 -1.5956 3.1880
-0.6545 -3.6250 -2.3289
11.5278 -5.9813 6.0704
Cs Li Cd Se
2 2 2 2
Cartesian
8.1997 -5.9696 4.9488
0.1670 -5.2322 1.9808
-1.1175 -3.1177 -0.9497
-2.0436 -2.1029 1.8088
4.6464 -6.1083 2.0855
3.7203 -5.0936 4.8440
0.3685 -1.9064 0.8250
7.9982 -9.2955 6.1045
```

Calculated values
- N(E_F): 0.58 states/eV per atom
- ΔE_f (raw): -0.774 eV per atom
- Raw total energy: -20.52 eV for the cell shown
- Magnetization: 0.00 μB per formula unit

---

Entry from Alexandria via LeMat-Bulk: a relaxed Cs2LiCdSe crystal (PBE).

The structure in POSCAR format:
```
Cs2LiCdSe
1.0
7.2159 0.0000 0.0000
0.0000 7.2159 0.0000
0.0000 0.0000 4.7602
Se Cd Cs Li
1 1 2 1
Cartesian
0.0000 0.0000 0.0000
3.6079 3.6079 2.3801
0.0000 3.6079 0.0000
3.6079 0.0000 0.0000
0.0000 0.0000 2.3801
```

Calculated values
- N(E_F): 0.51 states/eV per atom
- ΔE_f (raw): -0.566 eV per atom
- Raw total energy: -10.85 eV for the cell shown
- Magnetization: 0.00 μB per formula unit

---

Entry from Alexandria via LeMat-Bulk: a relaxed CsLi2CdSn crystal (PBE).

The structure in POSCAR format:
```
CsLi2CdSn
1.0
5.4878 0.0000 0.0000
0.0000 5.4878 0.0000
0.0000 0.0000 5.9188
Cd Li Cs Sn
1 2 1 1
Cartesian
0.0000 0.0000 2.9594
2.7439 0.0000 0.0000
0.0000 2.7439 0.0000
2.7439 2.7439 2.9594
0.0000 0.0000 0.0000
```

Calculated values
- DFT formation energy: -118 meV/atom
- N(E_F): 0.52 states/eV per atom
- Raw total energy: -10.19 eV for the cell shown
- Magnetization: 0.00 μB per formula unit

---

Entry from Alexandria via LeMat-Bulk: a relaxed CsSr2LiCd crystal (PBE).

The structure in POSCAR format:
```
CsSr2LiCd
1.0
6.5680 0.0000 0.0000
0.0000 6.5680 0.0000
0.0000 0.0000 5.8151
Li Sr Cs Cd
1 2 1 1
Cartesian
0.0000 0.0000 2.9076
3.2840 0.0000 0.0000
0.0000 3.2840 0.0000
3.2840 3.2840 2.9076
0.0000 0.0000 0.0000
```

Calculated values
- DFT formation energy: 65 meV/atom
- N(E_F): 0.87 states/eV per atom
- Raw total energy: -6.72 eV for the cell shown
- Magnetization: 0.00 μB per formula unit

---

Entry from Alexandria via LeMat-Bulk: a relaxed CsSrLi2Cd crystal (PBE).

The structure in POSCAR format:
```
CsSrLi2Cd
1.0
6.6317 0.0000 0.0000
0.0000 6.5362 0.0000
0.0000 0.0000 6.6317
Sr Cd Cs Li
1 1 1 2
Cartesian
0.0000 0.0000 0.0000
0.0000 3.2681 0.0000
3.3159 3.2681 3.3159
0.0000 0.0000 3.3159
3.3159 0.0000 0.0000
```

Calculated values
- DFT formation energy: 384 meV/atom
- N(E_F): 0.95 states/eV per atom
- Raw total energy: -5.36 eV for the cell shown
- Magnetization: 0.00 μB per formula unit

---

Entry from Alexandria via LeMat-Bulk: a relaxed CsLiCdTe crystal (PBE).

The structure in POSCAR format:
```
CsLiCdTe
1.0
-4.1890 1.5893 1.7133
-0.7106 -4.2165 2.1738
6.1897 4.5725 10.8925
Cd Li Te Cs
2 2 2 2
Cartesian
1.5146 -0.4788 7.5049
-0.2246 2.4241 7.2747
-3.3194 0.1378 1.8284
-1.5802 -2.7650 2.0587
1.8027 2.0759 12.5544
-0.5126 -0.1306 2.2253
-2.2124 -0.8901 5.4887
3.5025 2.8354 9.2909
```

Calculated values
- N(E_F): 0.40 states/eV per atom
- ΔE_f (raw): -0.658 eV per atom
- Raw total energy: -18.91 eV for the cell shown
- Magnetization: 0.00 μB per formula unit

---

Entry from Alexandria via LeMat-Bulk: a relaxed CsLi2TlCd crystal (PBE).

The structure in POSCAR format:
```
CsLi2TlCd
1.0
5.6128 0.0000 0.0000
0.0000 5.6128 0.0000
0.0000 0.0000 5.8020
Cd Tl Li Cs
1 1 2 1
Cartesian
0.0000 0.0000 2.9010
0.0000 0.0000 0.0000
2.8064 0.0000 0.0000
0.0000 2.8064 0.0000
2.8064 2.8064 2.9010
```

Calculated values
- DFT formation energy: -3 meV/atom
- N(E_F): 0.49 states/eV per atom
- Raw total energy: -7.98 eV for the cell shown
- Magnetization: 0.00 μB per formula unit